# KDyAgO2 | Alexandria | PBE | relaxed
data_KDyAgO2
_symmetry_space_group_name_H-M 'P 1 2/c 1'
_symmetry_Int_Tables_number 13
_symmetry_space_group_name_Hall '-P 2yc'
_cell_length_a 6.7162
_cell_length_b 5.5847
_cell_length_c 6.4999
_cell_angle_alpha 90.00
_cell_angle_beta 94.51
_cell_angle_gamma 90.00
loop_
_atom_site_label
_atom_site_type_symbol
_atom_site_fract_x
_atom_site_fract_y
_atom_site_fract_z
_atom_site_occupancy
K1 K 0.0000 0.1816 0.2500 1
Dy1 Dy 0.5000 0.0178 0.7500 1
Ag1 Ag 0.5000 0.5000 0.0000 1
O1 O 0.2999 0.1141 0.9919 1
# E_tot in eV per atom: -5.37
# Density of states at the Fermi level in states/eV/atom: 0.282